No. 1
# PmPr2Ag4 | Alexandria | GGA-PBE | optimized geometry
data_PmPr2Ag4
_cell_length_a 5.500
_cell_length_b 5.500
_cell_length_c 12.923
_cell_angle_alpha 90.00
_cell_angle_beta 90.00
_cell_angle_gamma 90.00
_space_group_name_H-M_alt 'I 4/m m m'
_space_group_IT_number 139
_space_group_name_Hall '-I 4 2'
loop_
_atom_site_label
_atom_site_fract_x
_atom_site_fract_y
_atom_site_fract_z
Pm1 0.000 0.000 0.000
Pr1 0.000 0.000 0.281
Ag1 0.000 0.500 0.116
# ρ ... 7.29 Mg/m³
# Energy of formation from the pure elements ... -0.086 eV/atom

=====

No. 2
# HgMo3Pb | Alexandria | GGA-PBE | optimized geometry
data_HgMo3Pb
_cell_length_a 5.110
_cell_length_b 5.110
_cell_length_c 5.110
_cell_angle_alpha 90.00
_cell_angle_beta 90.00
_cell_angle_gamma 90.00
_space_group_name_H-M_alt 'P m -3 m'
_space_group_IT_number 221
_space_group_name_Hall '-P 4 2 3'
loop_
_atom_site_label
_atom_site_fract_x
_atom_site_fract_y
_atom_site_fract_z
Hg1 0.000 0.000 0.000
Mo1 0.000 0.000 0.500
Pb1 0.500 0.500 0.500
# ρ ... 8.66 Mg/m³
# Excess energy over the best structure of this formula in the dataset ... 0 meV per atom
# Energy of formation from the pure elements ... 2.307 eV/atom

=====

No. 3
# Ho3Zn2Pd4 | Alexandria | GGA-PBE | optimized geometry
data_Ho3Zn2Pd4
_cell_length_a 9.735
_cell_length_b 4.288
_cell_length_c 8.712
_cell_angle_alpha 90.00
_cell_angle_beta 94.86
_cell_angle_gamma 90.00
_space_group_name_H-M_alt 'C 1 2/m 1'
_space_group_IT_number 12
_space_group_name_Hall '-C 2y'
loop_
_atom_site_label
_atom_site_fract_x
_atom_site_fract_y
_atom_site_fract_z
Ho1 0.000 0.000 0.000
Ho2 0.126 0.500 0.384
Zn1 0.177 0.500 0.782
Pd1 0.083 0.000 0.635
Pd2 0.212 0.500 0.089
# ρ ... 9.63 Mg/m³
# Energy of formation from the pure elements ... -0.762 eV/atom

=====

No. 4
# YMn2Fe | Alexandria | GGA-PBE | optimized geometry
data_YMn2Fe
_cell_length_a 3.039
_cell_length_b 3.039
_cell_length_c 6.891
_cell_angle_alpha 90.00
_cell_angle_beta 90.00
_cell_angle_gamma 90.00
_space_group_name_H-M_alt 'P 4/m m m'
_space_group_IT_number 123
_space_group_name_Hall '-P 4 2'
loop_
_atom_site_label
_atom_site_fract_x
_atom_site_fract_y
_atom_site_fract_z
Y1 0.000 0.000 0.000
Mn1 0.500 0.500 0.315
Fe1 0.000 0.000 0.500
# ρ ... 6.64 Mg/m³
# Excess energy over the best structure of this formula in the dataset ... 146 meV per atom
# Energy of formation from the pure elements ... 0.316 eV/atom

=====

No. 5
# Pm2ThRh | Alexandria | GGA-PBE | optimized geometry
data_Pm2ThRh
_cell_length_a 7.167
_cell_length_b 10.018
_cell_length_c 6.523
_cell_angle_alpha 90.00
_cell_angle_beta 90.00
_cell_angle_gamma 90.00
_space_group_name_H-M_alt 'P n m a'
_space_group_IT_number 62
_space_group_name_Hall '-P 2ac 2n'
loop_
_atom_site_label
_atom_site_fract_x
_atom_site_fract_y
_atom_site_fract_z
Pm1 0.179 0.065 0.166
Th1 0.040 0.250 0.662
Rh1 0.131 0.750 0.957
# ρ ... 8.86 Mg/m³
# Excess energy over the best structure of this formula in the dataset ... 0 meV per atom
# Energy of formation from the pure elements ... -0.452 eV/atom

=====

No. 6
# FeCoPt2 | Alexandria | GGA-PBE | optimized geometry
data_FeCoPt2
_cell_length_a 2.710
_cell_length_b 2.710
_cell_length_c 7.531
_cell_angle_alpha 90.00
_cell_angle_beta 90.00
_cell_angle_gamma 90.00
_space_group_name_H-M_alt 'P 4/m m m'
_space_group_IT_number 123
_space_group_name_Hall '-P 4 2'
loop_
_atom_site_label
_atom_site_fract_x
_atom_site_fract_y
_atom_site_fract_z
Fe1 0.000 0.000 0.000
Co1 0.000 0.000 0.500
Pt1 0.500 0.500 0.253
# ρ ... 15.16 Mg/m³
# Energy of formation from the pure elements ... -0.166 eV/atom

=====

No. 7
# La12Tl3Zn | Alexandria | GGA-PBE | optimized geometry
data_La12Tl3Zn
_cell_length_a 5.063
_cell_length_b 5.063
_cell_length_c 20.055
_cell_angle_alpha 90.00
_cell_angle_beta 90.00
_cell_angle_gamma 90.00
_space_group_name_H-M_alt 'P 4/m m m'
_space_group_IT_number 123
_space_group_name_Hall '-P 4 2'
loop_
_atom_site_label
_atom_site_fract_x
_atom_site_fract_y
_atom_site_fract_z
La1 0.000 0.000 0.000
La2 0.000 0.000 0.246
La3 0.000 0.000 0.500
La4 0.000 0.500 0.120
La5 0.000 0.500 0.374
Tl1 0.500 0.500 0.247
Tl2 0.500 0.500 0.500
Zn1 0.500 0.500 0.000
# ρ ... 7.58 Mg/m³
# Energy of formation from the pure elements ... -0.200 eV/atom

=====

No. 8
# TcRuCl3 | Alexandria | GGA-PBE | optimized geometry
data_TcRuCl3
_cell_length_a 4.867
_cell_length_b 4.867
_cell_length_c 4.867
_cell_angle_alpha 90.00
_cell_angle_beta 90.00
_cell_angle_gamma 90.00
_space_group_name_H-M_alt 'P m -3 m'
_space_group_IT_number 221
_space_group_name_Hall '-P 4 2 3'
loop_
_atom_site_label
_atom_site_fract_x
_atom_site_fract_y
_atom_site_fract_z
Tc1 0.000 0.000 0.000
Ru1 0.500 0.500 0.500
Cl1 0.000 0.000 0.500
# ρ ... 4.40 Mg/m³
# Formation energy without anion corrections ... 72 kJ per mole of atoms
# Excess energy over the best structure of this formula in the dataset ... 54 meV per atom

=====

No. 9
# UPa4Ga2 | Alexandria | GGA-PBE | optimized geometry
data_UPa4Ga2
_cell_length_a 8.018
_cell_length_b 10.629
_cell_length_c 4.062
_cell_angle_alpha 90.00
_cell_angle_beta 90.00
_cell_angle_gamma 90.00
_space_group_name_H-M_alt 'P b a m'
_space_group_IT_number 55
_space_group_name_Hall '-P 2 2ab'
loop_
_atom_site_label
_atom_site_fract_x
_atom_site_fract_y
_atom_site_fract_z
U1 0.000 0.000 0.000
Pa1 0.181 0.207 0.000
Pa2 0.216 0.942 0.500
Ga1 0.050 0.677 0.500
# ρ ... 12.49 Mg/m³
# Excess energy over the best structure of this formula in the dataset ... 175 meV per atom
# Energy of formation from the pure elements ... 0.203 eV/atom

=====

No. 10
# La2NdI | Alexandria | GGA-PBE | optimized geometry
data_La2NdI
_cell_length_a 3.7196
_cell_length_b 3.7196
_cell_length_c 36.1956
_cell_angle_alpha 90.00
_cell_angle_beta 90.00
_cell_angle_gamma 120.00
_space_group_name_H-M_alt 'R -3 m'
_space_group_IT_number 166
_space_group_name_Hall '-R 3 2"'
loop_
_atom_site_label
_atom_site_fract_x
_atom_site_fract_y
_atom_site_fract_z
La1 0.0000 0.0000 0.0950
Nd1 0.0000 0.0000 0.0000
I1 0.0000 0.0000 0.5000
# ρ ... 6.31 Mg/m³
# Formation energy without anion corrections ... -21 kJ per mole of atoms
# Excess energy over the best structure of this formula in the dataset ... 208 meV per atom

=====

No. 11
# Nb3CdIr | Alexandria | GGA-PBE | optimized geometry
data_Nb3CdIr
_cell_length_a 4.891
_cell_length_b 4.891
_cell_length_c 4.891
_cell_angle_alpha 90.00
_cell_angle_beta 90.00
_cell_angle_gamma 90.00
_space_group_name_H-M_alt 'P m -3 m'
_space_group_IT_number 221
_space_group_name_Hall '-P 4 2 3'
loop_
_atom_site_label
_atom_site_fract_x
_atom_site_fract_y
_atom_site_fract_z
Nb1 0.000 0.000 0.500
Cd1 0.500 0.500 0.500
Ir1 0.000 0.000 0.000
# ρ ... 8.28 Mg/m³
# Excess energy over the best structure of this formula in the dataset ... 0 meV per atom
# Energy of formation from the pure elements ... 0.827 eV/atom

=====

No. 12
# Li6Pd5Pb | Alexandria | GGA-PBE | optimized geometry
data_Li6Pd5Pb
_cell_length_a 4.382
_cell_length_b 5.985
_cell_length_c 6.883
_cell_angle_alpha 89.86
_cell_angle_beta 72.39
_cell_angle_gamma 89.67
_space_group_name_H-M_alt 'P -1'
_space_group_IT_number 2
_space_group_name_Hall '-P 1'
loop_
_atom_site_label
_atom_site_fract_x
_atom_site_fract_y
_atom_site_fract_z
Li1 0.000 0.226 0.000
Li2 0.324 0.239 0.353
Li3 0.324 0.761 0.353
Pd1 0.160 0.500 0.675
Pd2 0.164 0.000 0.672
Pd3 0.500 0.000 0.000
Pb1 0.500 0.500 0.000
# ρ ... 7.54 Mg/m³
# Excess energy over the best structure of this formula in the dataset ... 9 meV per atom
# Energy of formation from the pure elements ... -0.410 eV/atom

=====

Question: Among the records above, which one has the lowest ρ?
Answer: TcRuCl3

=====

Question: What is the formula in the seventh record?
Answer: La12Tl3Zn

=====

What did the tenth record say?
# La2NdI | Alexandria | GGA-PBE | optimized geometry
data_La2NdI
_cell_length_a 3.7196
_cell_length_b 3.7196
_cell_length_c 36.1956
_cell_angle_alpha 90.00
_cell_angle_beta 90.00
_cell_angle_gamma 120.00
_space_group_name_H-M_alt 'R -3 m'
_space_group_IT_number 166
_space_group_name_Hall '-R 3 2"'
loop_
_atom_site_label
_atom_site_fract_x
_atom_site_fract_y
_atom_site_fract_z
La1 0.0000 0.0000 0.0950
Nd1 0.0000 0.0000 0.0000
I1 0.0000 0.0000 0.5000
# ρ ... 6.31 Mg/m³
# Formation energy without anion corrections ... -21 kJ per mole of atoms
# Excess energy over the best structure of this formula in the dataset ... 208 meV per atom

=====

Question: Look up the ρ of the tenth one.
Answer: 6.31 Mg/m³